First-principles (PBE+U) data for a relaxed Cs2CrPdF6 crystal, as listed in the Alexandria database.

total moment: 4.0 μB/cell
energy: -49.07 eV for the cell shown

Unit cell a=6.246 b=6.246 c=6.246 alpha=116.63 beta=116.63 gamma=95.94
Atoms (fractional coordinates):
Cs1 0.250 0.750 0.500
Cs2 0.750 0.250 0.500
Cr1 0.000 0.000 0.000
Pd1 0.500 0.500 0.000
F1 0.211 0.211 0.422
F2 0.211 0.789 0.000
F3 0.239 0.239 0.000
F4 0.761 0.761 0.000
F5 0.789 0.211 0.000
F6 0.789 0.789 0.578